Material: CsAlBi2
Method: DFT, PBE
State: relaxed

## Properties
Crystal system = tetragonal
Energy of formation = 0.0250 eV per atom
N(E_F) = 0.461 states/eV/atom
Space-group type = No. 123

Cell and atoms, written as POSCAR:
```
CsAlBi2
1.0
4.088 0.000 0.000
0.000 4.088 0.000
0.000 0.000 8.433
Cs Al Bi
1 1 2
Direct
0.000 0.000 0.000 Cs
0.000 0.000 0.500 Al
0.500 0.500 0.325 Bi
0.500 0.500 0.675 Bi
```


Material: Pm12PrGe7
Method: DFT, PBE
State: relaxed

## Properties
Crystal system = trigonal
Energy of formation = -0.5056 eV per atom
N(E_F) = 1.179 states/eV/atom
Space-group type = No. 166

Cell and atoms, written as POSCAR:
```
Pm12PrGe7
1.0
7.569 4.370 2.896
-7.569 4.370 2.896
0.000 -8.740 2.896
Pm Pr Ge
12 1 7
Direct
0.000 0.267 0.733 Pm
0.000 0.733 0.267 Pm
0.165 0.473 0.473 Pm
0.267 0.000 0.733 Pm
0.267 0.733 0.000 Pm
0.473 0.165 0.473 Pm
0.473 0.473 0.165 Pm
0.527 0.527 0.835 Pm
0.527 0.835 0.527 Pm
0.733 0.000 0.267 Pm
0.733 0.267 0.000 Pm
0.835 0.527 0.527 Pm
0.000 0.000 0.000 Pr
0.134 0.134 0.462 Ge
0.134 0.462 0.134 Ge
0.462 0.134 0.134 Ge
0.500 0.500 0.500 Ge
0.538 0.866 0.866 Ge
0.866 0.538 0.866 Ge
0.866 0.866 0.538 Ge
```


Material: Pm2Er2Th5
Method: DFT, PBE
State: relaxed

## Properties
Crystal system = triclinic
Energy of formation = 0.0804 eV per atom
N(E_F) = 1.667 states/eV/atom
Space-group type = No. 2

Cell and atoms, written as POSCAR:
```
Pm2Er2Th5
1.0
6.197 0.000 0.000
3.098 5.381 0.000
1.077 1.822 8.795
Pm Er Th
2 2 5
Direct
0.163 0.386 0.329 Pm
0.837 0.614 0.671 Pm
0.170 0.161 0.997 Er
0.830 0.839 0.003 Er
0.174 0.936 0.668 Th
0.488 0.722 0.332 Th
0.500 0.500 0.000 Th
0.512 0.278 0.668 Th
0.826 0.064 0.332 Th
```


Material: VCoAu2C
Method: DFT, PBE
State: relaxed

## Properties
Crystal system = tetragonal
Energy of formation = 0.6649 eV per atom
N(E_F) = 0.996 states/eV/atom
Space-group type = No. 123

Cell and atoms, written as POSCAR:
```
VCoAu2C
1.0
4.265 0.000 0.000
0.000 4.265 0.000
0.000 0.000 3.958
V Co Au C
1 1 2 1
Direct
0.000 0.000 0.000 V
0.500 0.500 0.000 Co
0.000 0.500 0.500 Au
0.500 0.000 0.500 Au
0.000 0.000 0.500 C
```


Material: LiDyZrGa
Method: DFT, PBE
State: relaxed

## Properties
Crystal system = cubic
Energy of formation = -0.2236 eV per atom
N(E_F) = 0.728 states/eV/atom
Space-group type = No. 216

Cell and atoms, written as POSCAR:
```
LiDyZrGa
1.0
0.000 3.465 3.465
3.465 0.000 3.465
3.465 3.465 0.000
Li Dy Zr Ga
1 1 1 1
Direct
0.000 0.000 0.000 Li
0.250 0.250 0.250 Dy
0.750 0.750 0.750 Zr
0.500 0.500 0.500 Ga
```


Material: Te3As4
Method: DFT, PBE
State: relaxed

## Properties
Formation energy without anion corrections = 0.196 eV per atom
Crystal system = tetragonal
N(E_F) = 0.430 states/eV/atom
Space-group type = No. 139

Cell and atoms, written as POSCAR:
```
Te3As4
1.0
-1.812 1.812 14.930
1.812 -1.812 14.930
1.812 1.812 -14.930
Te As
3 4
Direct
0.000 0.000 0.000 Te
0.294 0.294 0.000 Te
0.706 0.706 0.000 Te
0.096 0.096 0.000 As
0.382 0.382 0.000 As
0.618 0.618 0.000 As
0.904 0.904 0.000 As
```


Material: CaNi2H8Pb
Method: DFT, PBE
State: relaxed

## Properties
Crystal system = trigonal
N(E_F) = 0.420 states/eV/atom
Energy = -3.544 eV per atom
Space-group type = No. 166

Cell and atoms, written as POSCAR:
```
CaNi2H8Pb
1.0
2.075 1.198 8.332
-2.075 1.198 8.332
0.000 -2.396 8.332
Ca Ni H Pb
1 2 8 1
Direct
0.000 0.000 0.000 Ca
0.250 0.250 0.250 Ni
0.750 0.750 0.750 Ni
0.070 0.539 0.539 H
0.187 0.187 0.187 H
0.461 0.461 0.930 H
0.461 0.930 0.461 H
0.539 0.070 0.539 H
0.539 0.539 0.070 H
0.813 0.813 0.813 H
0.930 0.461 0.461 H
0.500 0.500 0.500 Pb
```


Material: Dy2BeIr
Method: DFT, PBE
State: relaxed

## Properties
Crystal system = orthorhombic
Energy of formation = -0.5420 eV per atom
N(E_F) = 0.616 states/eV/atom
Relative energy among the computed polymorphs = 0 meV/atom
Space-group type = No. 38

Cell and atoms, written as POSCAR:
```
Dy2BeIr
1.0
3.973 0.000 0.000
0.000 2.016 5.312
0.000 -2.016 5.312
Dy Be Ir
2 1 1
Direct
0.000 0.000 0.000 Dy
0.500 0.281 0.281 Dy
0.500 0.587 0.587 Be
0.000 0.698 0.698 Ir
```


Material: La6RuC2Cl3
Method: DFT, PBE
State: relaxed

## Properties
Formation energy without anion corrections = -1.013 eV per atom
Crystal system = monoclinic
N(E_F) = 0.546 states/eV/atom
Space-group type = No. 12

Cell and atoms, written as POSCAR:
```
La6RuC2Cl3
1.0
9.286 -1.968 0.000
9.286 1.968 0.000
-3.007 0.000 8.306
La Ru C Cl
6 1 2 3
Direct
0.020 0.020 0.244 La
0.318 0.318 0.444 La
0.342 0.342 0.871 La
0.658 0.658 0.129 La
0.682 0.682 0.556 La
0.980 0.980 0.756 La
0.500 0.500 0.000 Ru
0.167 0.167 0.340 C
0.833 0.833 0.660 C
0.168 0.168 0.830 Cl
0.500 0.500 0.500 Cl
0.832 0.832 0.170 Cl
```


Material: LaTiTlPb2
Method: DFT, PBE
State: relaxed

## Properties
Crystal system = tetragonal
Energy of formation = 0.8792 eV per atom
N(E_F) = 1.129 states/eV/atom
Space-group type = No. 123

Cell and atoms, written as POSCAR:
```
LaTiTlPb2
1.0
5.730 0.000 0.000
0.000 5.730 0.000
0.000 0.000 6.008
La Ti Tl Pb
1 1 1 2
Direct
0.000 0.000 0.000 La
0.500 0.500 0.000 Ti
0.000 0.000 0.500 Tl
0.000 0.500 0.500 Pb
0.500 0.000 0.500 Pb
```


Material: Nd5Te3Au
Method: DFT, PBE
State: relaxed

## Properties
Formation energy without anion corrections = -1.090 eV per atom
Crystal system = hexagonal
N(E_F) = 0.918 states/eV/atom
Space-group type = No. 193

Cell and atoms, written as POSCAR:
```
Nd5Te3Au
1.0
9.529 0.000 0.000
-4.765 8.253 0.000
0.000 0.000 6.484
Nd Te Au
10 6 2
Direct
0.000 0.271 0.250 Nd
0.000 0.729 0.750 Nd
0.271 0.000 0.250 Nd
0.271 0.271 0.750 Nd
0.333 0.667 0.000 Nd
0.333 0.667 0.500 Nd
0.667 0.333 0.000 Nd
0.667 0.333 0.500 Nd
0.729 0.000 0.750 Nd
0.729 0.729 0.250 Nd
0.000 0.382 0.750 Te
0.000 0.618 0.250 Te
0.382 0.000 0.750 Te
0.382 0.382 0.250 Te
0.618 0.000 0.250 Te
0.618 0.618 0.750 Te
0.000 0.000 0.000 Au
0.000 0.000 0.500 Au
```


Material: Zn4SbAs
Method: DFT, PBE
State: relaxed

## Properties
Formation energy without anion corrections = 0.230 eV per atom
Crystal system = cubic
N(E_F) = 0.713 states/eV/atom
Relative energy among the computed polymorphs = 181 meV/atom
Space-group type = No. 216

Cell and atoms, written as POSCAR:
```
Zn4SbAs
1.0
0.000 3.797 3.797
3.797 0.000 3.797
3.797 3.797 0.000
Zn Sb As
4 1 1
Direct
0.125 0.125 0.125 Zn
0.125 0.125 0.626 Zn
0.125 0.626 0.125 Zn
0.626 0.125 0.125 Zn
0.500 0.500 0.500 Sb
0.750 0.750 0.750 As
```


Material: NaVBi2
Method: DFT, PBE
State: relaxed

## Properties
Crystal system = tetragonal
Energy of formation = 0.0361 eV per atom
N(E_F) = 0.502 states/eV/atom
Relative energy among the computed polymorphs = 0 meV/atom
Space-group type = No. 123

Cell and atoms, written as POSCAR:
```
NaVBi2
1.0
3.472 0.000 0.000
0.000 3.472 0.000
0.000 0.000 8.503
Na V Bi
1 1 2
Direct
0.000 0.000 0.000 Na
0.000 0.000 0.500 V
0.500 0.500 0.294 Bi
0.500 0.500 0.706 Bi
```


Material: TbSm2Ag2Sn2
Method: DFT, PBE
State: relaxed

## Properties
Crystal system = trigonal
Energy of formation = -0.3884 eV per atom
N(E_F) = 0.589 states/eV/atom
Space-group type = No. 166

Cell and atoms, written as POSCAR:
```
TbSm2Ag2Sn2
1.0
2.429 1.403 8.816
-2.429 1.403 8.816
0.000 -2.805 8.816
Tb Sm Ag Sn
1 2 2 2
Direct
0.000 0.000 0.000 Tb
0.134 0.134 0.134 Sm
0.866 0.866 0.866 Sm
0.426 0.426 0.426 Ag
0.574 0.574 0.574 Ag
0.268 0.268 0.268 Sn
0.732 0.732 0.732 Sn
```


Material: VPt2Au
Method: DFT, PBE
State: relaxed

## Properties
Crystal system = tetragonal
Energy of formation = -0.2305 eV per atom
N(E_F) = 1.084 states/eV/atom
Relative energy among the computed polymorphs = 140 meV/atom
Space-group type = No. 123

Cell and atoms, written as POSCAR:
```
VPt2Au
1.0
4.003 0.000 0.000
0.000 4.003 0.000
0.000 0.000 3.925
V Pt Au
1 2 1
Direct
0.000 0.000 0.000 V
0.000 0.500 0.500 Pt
0.500 0.000 0.500 Pt
0.500 0.500 0.000 Au
```


Material: TmSn2P2Pd7
Method: DFT, PBE
State: relaxed

## Properties
Crystal system = monoclinic
Energy of formation = -0.5223 eV per atom
N(E_F) = 0.481 states/eV/atom
Space-group type = No. 12

Cell and atoms, written as POSCAR:
```
TmSn2P2Pd7
1.0
2.922 -2.882 0.000
2.922 2.882 0.000
-2.042 0.000 12.659
Tm Sn P Pd
1 2 2 7
Direct
0.000 0.000 0.000 Tm
0.106 0.106 0.347 Sn
0.894 0.894 0.653 Sn
0.408 0.408 0.734 P
0.592 0.592 0.266 P
0.057 0.558 0.166 Pd
0.295 0.295 0.549 Pd
0.442 0.943 0.834 Pd
0.500 0.500 0.000 Pd
0.558 0.057 0.166 Pd
0.705 0.705 0.451 Pd
0.943 0.442 0.834 Pd
```


Material: GeBiF
Method: DFT, PBE
State: relaxed

## Properties
Formation energy without anion corrections = -0.782 eV per atom
Crystal system = orthorhombic
N(E_F) = 0.385 states/eV/atom
Space-group type = No. 38

Cell and atoms, written as POSCAR:
```
GeBiF
1.0
13.318 0.000 0.000
0.000 1.598 3.461
0.000 -1.598 3.461
Ge Bi F
2 2 2
Direct
0.000 0.000 0.000 Ge
0.500 0.030 0.030 Ge
0.168 0.710 0.710 Bi
0.832 0.710 0.710 Bi
0.396 0.207 0.207 F
0.604 0.207 0.207 F
```


Material: TmScGe
Method: DFT, PBE
State: relaxed

## Properties
Crystal system = orthorhombic
Energy of formation = -0.4341 eV per atom
N(E_F) = 1.100 states/eV/atom
Space-group type = No. 42

Cell and atoms, written as POSCAR:
```
TmScGe
1.0
0.000 2.352 6.241
2.336 0.000 6.241
2.336 2.352 0.000
Tm Sc Ge
1 1 1
Direct
0.000 0.000 0.000 Tm
0.707 0.707 0.293 Sc
0.346 0.346 0.654 Ge
```